(1)
# CsTlPbAu | Alexandria via LeMat-Bulk | PBE | optimized geometry
data_CsTlPbAu
_chemical_formula_sum 'Cs3 Tl3 Pb3 Au3'
_space_group_name_H-M_alt 'R 3 m'
_space_group_IT_number 160
_space_group_name_Hall 'R 3 -2"'
_cell_length_a 4.8245
_cell_length_b 4.8245
_cell_length_c 22.6171
_cell_angle_alpha 90.00
_cell_angle_beta 90.00
_cell_angle_gamma 120.00
loop_
_atom_site_label
_atom_site_fract_x
_atom_site_fract_y
_atom_site_fract_z
Cs1 0.0000 0.0000 0.0000
Tl1 0.0000 0.0000 0.2151
Pb1 0.0000 0.0000 0.7901
Au1 0.0000 0.0000 0.4941
# ΔE_f ... -0.169 eV/atom
# Magnetization ... 0.000 μB per cell


(2)
# HfHgH2 | Alexandria via LeMat-Bulk | PBE | optimized geometry
data_HfHgH2
_chemical_formula_sum 'Hf3 Hg3 H6'
_space_group_name_H-M_alt 'R 3 m'
_space_group_IT_number 160
_space_group_name_Hall 'R 3 -2"'
_cell_length_a 3.3123
_cell_length_b 3.3123
_cell_length_c 16.6373
_cell_angle_alpha 90.00
_cell_angle_beta 90.00
_cell_angle_gamma 120.00
loop_
_atom_site_label
_atom_site_fract_x
_atom_site_fract_y
_atom_site_fract_z
Hf1 0.0000 0.0000 0.0000
Hg1 0.0000 0.0000 0.1767
H1 0.0000 0.0000 0.3741
H2 0.0000 0.0000 0.6441
# Relative energy among the computed polymorphs ... 0.0 meV/atom
# Magnetization ... 0.000 μB per cell


(3)
# Sr2CaMgO | Alexandria via LeMat-Bulk | PBE | optimized geometry
data_Sr2CaMgO
_chemical_formula_sum 'Sr2 Ca1 Mg1 O1'
_space_group_name_H-M_alt 'P 4/m m m'
_space_group_IT_number 123
_space_group_name_Hall '-P 4 2'
_cell_length_a 5.475
_cell_length_b 5.475
_cell_length_c 4.764
_cell_angle_alpha 90.00
_cell_angle_beta 90.00
_cell_angle_gamma 90.00
loop_
_atom_site_label
_atom_site_fract_x
_atom_site_fract_y
_atom_site_fract_z
Sr1 0.000 0.500 0.000
Ca1 0.000 0.000 0.500
Mg1 0.500 0.500 0.500
O1 0.000 0.000 0.000
# Formation energy from raw total energies ... -1.089 eV per atom
# Magnetization ... 0.000 μB per cell


(4)
# TbEuZn4 | Alexandria via LeMat-Bulk | PBE | optimized geometry
data_TbEuZn4
_chemical_formula_sum 'Tb4 Eu4 Zn16'
_space_group_name_H-M_alt 'F -4 3 m'
_space_group_IT_number 216
_space_group_name_Hall 'F -4 2 3'
_cell_length_a 7.849
_cell_length_b 7.849
_cell_length_c 7.849
_cell_angle_alpha 90.00
_cell_angle_beta 90.00
_cell_angle_gamma 90.00
loop_
_atom_site_label
_atom_site_fract_x
_atom_site_fract_y
_atom_site_fract_z
Tb1 0.000 0.000 0.000
Eu1 0.250 0.250 0.250
Zn1 0.126 0.126 0.626
# ΔE_f ... -0.277 eV/atom
# Magnetization ... 27.716 μB per cell


(5)
# LiHf2Zr | Alexandria via LeMat-Bulk | PBE | optimized geometry
data_LiHf2Zr
_chemical_formula_sum 'Li1 Hf2 Zr1'
_space_group_name_H-M_alt 'P 4/m m m'
_space_group_IT_number 123
_space_group_name_Hall '-P 4 2'
_cell_length_a 3.195
_cell_length_b 3.195
_cell_length_c 8.267
_cell_angle_alpha 90.00
_cell_angle_beta 90.00
_cell_angle_gamma 90.00
loop_
_atom_site_label
_atom_site_fract_x
_atom_site_fract_y
_atom_site_fract_z
Li1 0.000 0.000 0.000
Hf1 0.500 0.500 0.241
Zr1 0.000 0.000 0.500
# Relative energy among the computed polymorphs ... 0.0 meV/atom
# ΔE_f ... 0.170 eV/atom
# Magnetization ... 0.000 μB per cell


(6)
# EuThRh2 | Alexandria via LeMat-Bulk | PBE | optimized geometry
data_EuThRh2
_chemical_formula_sum 'Eu1 Th1 Rh2'
_space_group_name_H-M_alt 'P 4/m m m'
_space_group_IT_number 123
_space_group_name_Hall '-P 4 2'
_cell_length_a 3.582
_cell_length_b 3.582
_cell_length_c 7.147
_cell_angle_alpha 90.00
_cell_angle_beta 90.00
_cell_angle_gamma 90.00
loop_
_atom_site_label
_atom_site_fract_x
_atom_site_fract_y
_atom_site_fract_z
Eu1 0.000 0.000 0.000
Th1 0.000 0.000 0.500
Rh1 0.500 0.500 0.287
# ΔE_f ... -0.677 eV/atom
# Magnetization ... 6.894 μB per cell


(7)
# TbThTcPt | Alexandria via LeMat-Bulk | PBE | optimized geometry
data_TbThTcPt
_chemical_formula_sum 'Tb4 Th4 Tc4 Pt4'
_space_group_name_H-M_alt 'F -4 3 m'
_space_group_IT_number 216
_space_group_name_Hall 'F -4 2 3'
_cell_length_a 7.071
_cell_length_b 7.071
_cell_length_c 7.071
_cell_angle_alpha 90.00
_cell_angle_beta 90.00
_cell_angle_gamma 90.00
loop_
_atom_site_label
_atom_site_fract_x
_atom_site_fract_y
_atom_site_fract_z
Tb1 0.000 0.000 0.000
Th1 0.000 0.000 0.500
Tc1 0.250 0.250 0.250
Pt1 0.250 0.250 0.750
# ΔE_f ... -0.547 eV/atom
# Magnetization ... 0.000 μB per cell


(8)
# MnPSe2 | Alexandria via LeMat-Bulk | PBE | optimized geometry
data_MnPSe2
_chemical_formula_sum 'Mn1 P1 Se2'
_space_group_name_H-M_alt 'P m m m'
_space_group_IT_number 47
_cell_length_a 3.557
_cell_length_b 3.563
_cell_length_c 7.547
_cell_angle_alpha 90.00
_cell_angle_beta 90.00
_cell_angle_gamma 90.00
loop_
_space_group_symop_operation_xyz
'x,y,z'
'-x,-y,-z'
'-x,-y,z'
'x,y,-z'
'x,-y,-z'
'-x,y,z'
'-x,y,-z'
'x,-y,z'
loop_
_atom_site_label
_atom_site_fract_x
_atom_site_fract_y
_atom_site_fract_z
Mn1 0.000 0.000 0.000
P1 0.500 0.000 0.500
Se1 0.000 0.500 0.500
Se2 0.500 0.500 0.000
# Formation energy from raw total energies ... 0.185 eV per atom
# Magnetization ... 4.608 μB per cell